Computed, not measured: a relaxed structure of TbAl2Ga at the PBE level of DFT.

* calculated total energy: -67.1 eV per cell
* space group: Cmcm, No. 63
* N(E_F): 1.37 states/eV/f.u.
* formation enthalpy at 0 K: -406 meV per atom

Cell: 4.2122 8.6018 9.1513 Å, 90.00 90.00 104.17°
Atoms (fractional coordinates):
Al  0.6926  0.3852  0.6062
Al  0.3074  0.6148  0.3938
Al  0.1027  0.2055  0.7500
Al  0.9493  0.8986  0.7500
Ga  0.8578  0.7157  0.9704
Al  0.8973  0.7945  0.2500
Al  0.6926  0.3852  0.8938
Ga  0.1422  0.2843  0.4704
Tb  0.5000  0.0000  0.0000
Al  0.0507  0.1014  0.2500
Tb  0.3068  0.6136  0.7500
Tb  0.5000  0.0000  0.5000
Tb  0.6932  0.3864  0.2500
Ga  0.8578  0.7157  0.5296
Al  0.3074  0.6148  0.1062
Ga  0.1422  0.2843  0.0296



Computed, not measured: a relaxed structure of Tb3AlGa4 at the PBE level of DFT.

* calculated total energy: -32.7 eV per cell
* space group: Immm, No. 71
* N(E_F): 4.56 states/eV/f.u.
* formation enthalpy at 0 K: -364 meV per atom

Cell: 3.8136 6.2157 8.7953 Å, 110.69 102.52 90.00°
Atoms (fractional coordinates):
Tb  0.7933  0.7933  0.5866
Al  0.5000  0.0000  0.0000
Ga  0.6228  0.8316  0.2456
Tb  0.0000  0.5000  0.0000
Tb  0.2067  0.2067  0.4134
Ga  0.3772  0.5861  0.7544
Ga  0.3772  0.1684  0.7544
Ga  0.6228  0.4139  0.2456